Below is a geometry-optimized TbPuF2 structure, with properties calculated at the PBE-GGA level.

Cell and atoms, written as extended XYZ:
```
4
Lattice="3.5881 0.0000 0.0000 1.7940 3.1074 0.0000 1.7940 1.0358 7.7895" Properties=species:S:1:pos:R:3 pbc="T T T"
F 1.7940 1.0358 5.5591
F 5.3821 3.1074 2.2304
Tb 0.0000 0.0000 0.0000
Pu 3.5881 2.0716 3.8947
```

- formation energy from raw total energies (meV per atom) = -2153
- VASP energy (eV/atom) = -7.829
- size of the total moment (μB per cell) = 6.698
- symmetry = R-3m

---

Below is a geometry-optimized Sm8DyHo5 structure, with properties calculated at the PBE-GGA level.

Cell and atoms, written as extended XYZ:
```
14
Lattice="8.1158 0.0022 -2.5646 -4.1550 6.7969 -2.9740 0.1968 -0.0022 8.5091" Properties=species:S:1:pos:R:3 pbc="T T T"
Sm 7.2571 0.6005 2.9714
Sm 1.8183 4.1114 -0.8505
Sm 1.0029 6.1964 2.9328
Sm -2.3646 5.0526 1.6139
Sm 4.9203 1.7443 0.2111
Sm 3.9405 2.6855 4.9661
Dy 0.0978 3.3973 4.2527
Ho 3.9280 4.6559 1.9958
Sm 1.7571 1.8062 1.9906
Ho 2.0601 0.6560 7.2033
Ho 4.1555 0.0000 2.9717
Ho -0.9966 2.1410 0.0978
Sm -1.7033 4.9907 -1.9548
Ho 3.3275 6.1409 -3.3532
```

- formation energy from the elements (eV/atom) = 0.2545
- VASP energy (eV/atom) = -4.406
- size of the total moment (μB per cell) = 0.000
- symmetry = C2

---

Q: What is the VASP energy in the second record?
A: -4.406 eV/atom

---

Q: Which value of VASP energy does entry 2 give?
A: -4.406 eV/atom

---

Q: Number 1 is which compound?
A: TbPuF2

---

Q: What is the size of the total moment in the second record?
A: 0.000 μB per cell